# 1
VASP calculation (PBE) on an optimized crystal structure of Tl2HS.

abc: 4.147 7.326 7.351
angles: 71.10 89.99 90.00
Positions (direct):
Tl  0.000  0.000  0.000
Tl  0.000  0.465  0.556
Tl  0.500  0.539  0.078
Tl  0.500  0.997  0.449
H  0.501  0.597  0.830
H  0.501  0.622  0.276
S  0.000  0.291  0.202
S  0.500  0.181  0.726

- Energy above the most stable polymorph in this dataset: 0.0000 eV/atom

# 2
VASP calculation (PBE) on an optimized crystal structure of Na3Cd4Sn2.

abc: 6.123 6.123 9.523
angles: 116.38 116.38 48.29
Positions (direct):
Na  0.000  0.000  0.000
Na  0.336  0.336  0.328
Na  0.664  0.664  0.672
Cd  0.081  0.081  0.418
Cd  0.307  0.307  0.973
Cd  0.693  0.693  0.027
Cd  0.919  0.919  0.582
Sn  0.392  0.392  0.726
Sn  0.608  0.608  0.274

- Energy above the most stable polymorph in this dataset: 0.0000 eV/atom

In eV/atom, the total energy values for the records above are, in order, -3.104 -1.880.